No. 1
First-principles (PBEsol) data for crystalline KAg2Ir at its relaxed geometry, as listed in Alexandria.

Cell: 2.7823 2.7823 9.5923 Å, 90.00 90.00 90.00°
Closest atoms and distances in Å follow each position.
Fractional positions:
K  0.0000  0.0000  0.0000  4 K 2.78
Ag  0.0000  0.0000  0.5231  8 Ag 2.78-2.88, 4 Ir 2.82
Ag  0.5000  0.5000  0.3033  8 Ag 2.78-2.88
Ir  0.5000  0.5000  0.7336  4 Ir 2.78, 4 Ag 2.82

Properties
Magnetization = 0.003 μB/atom
DFT formation energy = 0.53 eV per atom
Offset from the most stable computed form = 0.00 kcal/mol of atoms
E = -3.861 eV per atom

***

No. 2
First-principles (PBEsol) data for crystalline LiZrMo at its relaxed geometry, as listed in Alexandria.

Cell: 4.7925 4.7925 2.5589 Å, 90.00 90.00 120.00°
Closest atoms and distances in Å follow each position.
Fractional positions:
Li  0.0000  0.0000  0.0000  2 Li 2.56, 3 Mo 2.85, 3 Zr 2.86
Zr  0.6667  0.3333  0.2852  2 Zr 2.56, 3 Li 2.86
Mo  0.3333  0.6667  0.7399  2 Mo 2.56, 3 Li 2.85

Properties
Magnetization = 0.000 μB/atom
DFT formation energy = 0.32 eV per atom
E = -7.288 eV per atom

***

No. 3
First-principles (PBEsol) data for crystalline Be2RuW at its relaxed geometry, as listed in Alexandria.

Cell: 3.0244 3.7852 4.1440 Å, 90.00 90.00 90.00°
Closest atoms and distances in Å follow each position.
Fractional positions:
Be  0.0000  0.0000  0.0000  4 W 2.42, 4 Be 2.57
Be  0.5000  0.0000  0.5000  4 Ru 2.42, 4 Be 2.57
Ru  0.0000  0.5000  0.5000  4 Be 2.42, 4 W 2.57
W  0.5000  0.5000  0.0000  4 Be 2.42, 4 Ru 2.57

Properties
Magnetization = 0.000 μB/atom
DFT formation energy = 0.15 eV per atom
E = -7.847 eV per atom

***

No. 4
First-principles (PBEsol) data for crystalline Rb3HoP2O8 at its relaxed geometry, as listed in Alexandria.

Cell: 5.6795 5.6795 7.9859 Å, 90.00 90.00 120.00°
Closest atoms and distances in Å follow each position.
Fractional positions:
Rb  0.0000  0.0000  0.0000  12 O 3.27-3.34
Rb  0.3333  0.6667  0.7447  7 O 2.69-2.93
Rb  0.6667  0.3333  0.2553  7 O 2.69-2.93
Ho  0.0000  0.0000  0.5000  6 O 2.22
P  0.3333  0.6667  0.2721  4 O 1.52-1.56
P  0.6667  0.3333  0.7279  4 O 1.52-1.56
O  0.1845  0.3691  0.3406  1 P 1.56
O  0.1845  0.8155  0.3406  1 P 1.56
O  0.3333  0.6667  0.0818  1 P 1.52
O  0.3691  0.1845  0.6594  1 P 1.56
O  0.6309  0.8155  0.3406  1 P 1.56
O  0.6667  0.3333  0.9182  1 P 1.52
O  0.8155  0.1845  0.6594  1 P 1.56
O  0.8155  0.6309  0.6594  1 P 1.56

Properties
Magnetization = 0.000 μB/atom
Formation energy without anion corrections = -2.603 eV/atom
E = -7.003 eV per atom

***

No. 5
First-principles (PBEsol) data for crystalline BaTcAu2 at its relaxed geometry, as listed in Alexandria.

Cell: 3.1747 3.7061 7.4012 Å, 90.00 90.00 90.00°
Closest atoms and distances in Å follow each position.
Fractional positions:
Ba  0.0000  0.0000  0.0000  2 Ba 3.17, 5 Au 3.32-3.52, 4 Tc 3.45
Tc  0.5000  0.5000  0.3287  5 Au 2.67-2.72
Au  0.0000  0.0000  0.4757  4 Tc 2.67, 4 Au 2.94
Au  0.5000  0.5000  0.6964  1 Tc 2.72, 4 Au 2.94

Properties
Magnetization = 0.269 μB/atom
DFT formation energy = 0.46 eV per atom
E = -4.859 eV per atom

***

No. 6
First-principles (PBEsol) data for crystalline KNa3Al4Si4O16 at its relaxed geometry, as listed in Alexandria.

Cell: 8.4310 9.9244 10.0221 Å, 61.17 89.68 89.68°
Closest atoms and distances in Å follow each position.
Fractional positions:
K  0.0000  0.0000  0.0000  8 O 2.84-3.18
K  0.5000  0.0187  0.9794  6 O 2.78-3.09
Na  0.4823  0.9928  0.4198  5 O 2.35-2.58
Na  0.4905  0.4346  0.5418  5 O 2.40-2.61
Na  0.4966  0.5619  0.9674  4 O 2.31-2.48
Na  0.9831  0.5676  0.4385  5 O 2.39-2.59
Na  0.9926  0.4406  0.9828  4 O 2.39-2.49
Na  0.9987  0.9984  0.5384  5 O 2.39-2.65
Al  0.1803  0.9033  0.3229  4 O 1.74-1.80
Al  0.2976  0.6549  0.6505  4 O 1.72-1.77
Al  0.3007  0.2417  0.0808  4 O 1.72-1.77
Al  0.3047  0.0945  0.6476  4 O 1.75-1.76
Al  0.7935  0.9071  0.3229  4 O 1.72-1.77
Al  0.7992  0.7596  0.8852  4 O 1.74-1.76
Al  0.7999  0.3456  0.3200  4 O 1.75-1.76
Al  0.8083  0.3226  0.7459  4 O 1.75
Si  0.1733  0.3277  0.7449  4 O 1.63-1.64
Si  0.1789  0.3456  0.3202  4 O 1.62-1.67
Si  0.1785  0.7556  0.8900  4 O 1.62-1.66
Si  0.3024  0.6689  0.2212  4 O 1.61-1.64
Si  0.6636  0.6721  0.2174  4 O 1.62-1.67
Si  0.6803  0.0949  0.6406  4 O 1.63-1.64
Si  0.6796  0.2430  0.0839  4 O 1.63-1.64
Si  0.6826  0.6508  0.6494  4 O 1.63-1.64
O  0.0000  0.2749  0.7151  1 Si 1.63, 1 Al 1.75
O  0.1700  0.7539  0.2700  1 Si 1.61
O  0.1799  0.2914  0.9214  1 Si 1.63, 1 Al 1.76
O  0.1858  0.9383  0.7703  1 Si 1.62, 1 Al 1.76
O  0.1966  0.5111  0.6288  1 Si 1.63, 1 Al 1.77
O  0.2118  0.3473  0.1604  1 Si 1.62, 1 Al 1.76
O  0.2241  0.1798  0.4639  1 Si 1.62, 1 Al 1.75
O  0.2534  0.6459  0.8275  1 Si 1.62, 1 Al 1.77
O  0.2552  0.8369  0.5054  2 Al 1.72-1.74
O  0.2905  0.7231  0.0388  2 Si 1.64-1.66
O  0.2922  0.4808  0.3248  2 Si 1.64-1.67
O  0.3045  0.0443  0.1908  2 Al 1.72-1.74
O  0.3115  0.2282  0.7151  1 Si 1.64, 1 Al 1.76
O  0.4811  0.7153  0.2493  2 Si 1.64-1.67
O  0.4975  0.6022  0.6567  1 Si 1.63, 1 Al 1.75
O  0.4986  0.3055  0.0298  1 Si 1.64, 1 Al 1.77
O  0.4997  0.0343  0.6421  1 Si 1.64, 1 Al 1.76
O  0.6674  0.0617  0.2104  1 Si 1.63, 1 Al 1.76
O  0.6686  0.2272  0.6932  1 Si 1.64, 1 Al 1.75
O  0.6700  0.7179  0.0383  1 Si 1.63, 1 Al 1.76
O  0.6868  0.4893  0.3316  1 Si 1.62, 1 Al 1.76
O  0.7133  0.8220  0.5073  1 Si 1.63, 1 Al 1.75
O  0.7298  0.6458  0.8096  1 Si 1.63, 1 Al 1.74
O  0.7567  0.1630  0.4706  1 Si 1.63, 1 Al 1.75
O  0.7659  0.3482  0.1467  1 Si 1.63, 1 Al 1.75
O  0.7871  0.2583  0.9410  1 Si 1.63, 1 Al 1.75
O  0.7882  0.5221  0.6302  1 Si 1.64, 1 Al 1.75
O  0.7887  0.7750  0.2513  1 Si 1.62, 1 Al 1.77
O  0.7958  0.9562  0.7582  1 Si 1.63, 1 Al 1.74
O  0.9861  0.9656  0.3171  2 Al 1.72-1.74
O  0.9962  0.7071  0.9459  1 Si 1.63, 1 Al 1.76
O  0.9972  0.3947  0.3299  1 Si 1.62, 1 Al 1.75

Properties
Magnetization = 0.000 μB/atom
Formation energy without anion corrections = -2.751 eV/atom
Offset from the most stable computed form = 0.27 kcal/mol of atoms
E = -7.346 eV per atom

***

No. 7
First-principles (PBEsol) data for crystalline InTeSI2 at its relaxed geometry, as listed in Alexandria.

Cell: 5.7521 5.7521 5.6708 Å, 90.00 90.00 90.00°
Closest atoms and distances in Å follow each position.
Fractional positions:
In  0.0000  0.0000  0.0000  2 Te 2.84, 4 I 2.88
Te  0.0000  0.0000  0.5000  2 In 2.84
S  0.5000  0.5000  0.5000  8 I 4.04, 4 Te 4.07
I  0.0000  0.5000  0.0000  2 In 2.88
I  0.5000  0.0000  0.0000  2 In 2.88

Properties
Magnetization = 0.576 μB/atom
Formation energy without anion corrections = 0.599 eV/atom
E = -2.286 eV per atom

***

No. 8
First-principles (PBEsol) data for crystalline CaMnSn3 at its relaxed geometry, as listed in Alexandria.

Cell: 4.9982 4.9982 4.9982 Å, 90.00 90.00 90.00°
Closest atoms and distances in Å follow each position.
Fractional positions:
Ca  0.0000  0.0000  0.0000  12 Sn 3.53
Mn  0.5000  0.5000  0.5000  6 Sn 2.50
Sn  0.0000  0.5000  0.5000  2 Mn 2.50
Sn  0.5000  0.0000  0.5000  2 Mn 2.50
Sn  0.5000  0.5000  0.0000  2 Mn 2.50

Properties
Magnetization = 0.426 μB/atom
DFT formation energy = -0.07 eV per atom
E = -5.002 eV per atom